This record from Alexandria via LeMat-Bulk describes a relaxed structure of Ho6Mg2Sc. The functional is GGA-PBE.

Cell: 7.145 7.145 7.537 Å, 61.71 61.71 60.00°
Positions (direct):
Ho 0.772 0.287 0.698
Ho 0.287 0.243 0.698
Ho 0.073 0.606 0.292
Ho 0.606 0.029 0.292
Ho 0.243 0.772 0.698
Ho 0.029 0.073 0.292
Sc 0.321 0.321 0.037
Mg 0.580 0.580 0.259
Mg 0.755 0.755 0.734

Computed properties:
N(E_F), states/eV/cell: 12.743
Crystal system: trigonal
Energy relative to the elements, meV/atom: 429
Magnetic moment, μB/atom: 0.00